Entry 1:
The following is a DFT calculation (GGA-PBE) of RbCaBO3 after structural relaxation.

a = 5.620 Å, b = 5.620 Å, c = 6.316 Å
α = 90.00°, β = 90.00°, γ = 120.00°
Fractional coordinates of all 12 atoms:
Rb1 0.667 0.333 0.250
Rb2 0.333 0.667 0.750
Ca1 0.000 0.000 0.500
Ca2 0.000 0.000 0.000
B1 0.333 0.667 0.250
B2 0.667 0.333 0.750
O1 0.811 0.189 0.750
O2 0.189 0.378 0.250
O3 0.378 0.189 0.750
O4 0.622 0.811 0.250
O5 0.811 0.622 0.750
O6 0.189 0.811 0.250

- Magnetic moment: 0.000 μB/cell
- Total DFT energy (no corrections): -0.24216 hartree per atom

Entry 2:
The following is a DFT calculation (GGA-PBE) of Sb2PRh after structural relaxation.

a = 5.060 Å, b = 5.060 Å, c = 5.060 Å
α = 127.16°, β = 127.16°, γ = 78.00°
Fractional coordinates of all 4 atoms:
Sb1 0.000 0.000 0.000
Sb2 0.250 0.750 0.500
P1 0.500 0.500 0.000
Rh1 0.750 0.250 0.500

- Magnetic moment: 0.000 μB/cell
- Total DFT energy (no corrections): -0.17877 hartree per atom

Entry 3:
The following is a DFT calculation (GGA-PBE) of LiCd3Ga after structural relaxation.

a = 5.234 Å, b = 5.234 Å, c = 5.234 Å
α = 90.00°, β = 90.00°, γ = 90.00°
Fractional coordinates of all 5 atoms:
Li1 0.500 0.500 0.500
Ga1 0.000 0.000 0.000
Cd1 0.000 0.500 0.000
Cd2 0.000 0.000 0.500
Cd3 0.500 0.000 0.000

- Magnetic moment: 0.000 μB/cell
- Formation energy from the elements: 0.210 eV per atom
- Relative energy among the computed polymorphs: 0.278 eV/atom

Entry 4:
The following is a DFT calculation (GGA-PBE) of Nb2Al2Sb after structural relaxation.

a = 7.043 Å, b = 7.043 Å, c = 3.628 Å
α = 90.00°, β = 90.00°, γ = 90.00°
Fractional coordinates of all 10 atoms:
Sb1 0.000 0.000 0.000
Sb2 0.500 0.500 0.000
Nb1 0.176 0.676 0.500
Nb2 0.676 0.824 0.500
Nb3 0.824 0.324 0.500
Nb4 0.324 0.176 0.500
Al1 0.376 0.876 0.000
Al2 0.876 0.624 0.000
Al3 0.624 0.124 0.000
Al4 0.124 0.376 0.000

- Magnetic moment: 0.000 μB/cell
- Relative energy among the computed polymorphs: 0.066 eV/atom

Entry 5:
The following is a DFT calculation (GGA-PBE) of RbGa2GeO6 after structural relaxation.

a = 6.213 Å, b = 7.607 Å, c = 7.607 Å
α = 108.10°, β = 77.79°, γ = 77.79°
Fractional coordinates of all 20 atoms:
Rb1 0.250 0.902 0.098
Rb2 0.750 0.098 0.902
Ga1 0.380 0.717 0.541
Ga2 0.120 0.459 0.283
Ga3 0.620 0.283 0.459
Ga4 0.880 0.541 0.717
Ge1 0.250 0.204 0.796
Ge2 0.750 0.796 0.204
O1 0.252 0.958 0.741
O2 0.248 0.259 0.042
O3 0.748 0.042 0.259
O4 0.752 0.741 0.958
O5 0.494 0.768 0.325
O6 0.006 0.675 0.232
O7 0.506 0.232 0.675
O8 0.994 0.325 0.768
O9 0.093 0.641 0.579
O10 0.407 0.421 0.359
O11 0.907 0.359 0.421
O12 0.593 0.579 0.641

- Magnetic moment: 2.080 μB/cell
- Total DFT energy (no corrections): -0.20991 hartree per atom

Entry 6:
The following is a DFT calculation (GGA-PBE) of Ba3Pd3Pb8 after structural relaxation.

a = 4.952 Å, b = 9.797 Å, c = 9.797 Å
α = 76.42°, β = 75.36°, γ = 75.36°
Fractional coordinates of all 14 atoms:
Ba1 0.500 0.500 0.500
Ba2 0.840 0.160 0.160
Ba3 0.160 0.840 0.840
Pd1 0.500 0.000 0.000
Pd2 0.000 0.751 0.249
Pd3 0.000 0.249 0.751
Pb1 0.610 0.096 0.684
Pb2 0.390 0.904 0.316
Pb3 0.610 0.684 0.096
Pb4 0.390 0.316 0.904
Pb5 0.833 0.799 0.536
Pb6 0.167 0.201 0.464
Pb7 0.833 0.536 0.799
Pb8 0.167 0.464 0.201

- Magnetic moment: 0.000 μB/cell
- Formation energy from the elements: -0.377 eV per atom
- Relative energy among the computed polymorphs: 0.010 eV/atom

Entry 7:
The following is a DFT calculation (GGA-PBE) of CaZrSc2 after structural relaxation.

a = 4.509 Å, b = 4.824 Å, c = 4.824 Å
α = 90.00°, β = 90.00°, γ = 90.00°
Fractional coordinates of all 4 atoms:
Sc1 0.000 0.000 0.000
Sc2 0.000 0.500 0.500
Ca1 0.500 0.000 0.500
Zr1 0.500 0.500 0.000

- Magnetic moment: 0.000 μB/cell
- Formation energy from the elements: 0.271 eV per atom
- Relative energy among the computed polymorphs: 0.169 eV/atom

Entry 8:
The following is a DFT calculation (GGA-PBE) of Al3PdO after structural relaxation.

a = 4.041 Å, b = 4.041 Å, c = 4.041 Å
α = 90.00°, β = 90.00°, γ = 90.00°
Fractional coordinates of all 5 atoms:
O1 0.000 0.000 0.000
Al1 0.000 0.500 0.000
Al2 0.000 0.000 0.500
Al3 0.500 0.000 0.000
Pd1 0.500 0.500 0.500

- Magnetic moment: 0.000 μB/cell
- Total DFT energy (no corrections): -0.18095 hartree per atom

Entry 9:
The following is a DFT calculation (GGA-PBE) of PrTeCl after structural relaxation.

a = 3.998 Å, b = 3.998 Å, c = 5.910 Å
α = 109.77°, β = 109.77°, γ = 90.00°
Fractional coordinates of all 3 atoms:
Pr1 0.675 0.675 0.350
Te1 0.010 0.010 0.019
Cl1 0.316 0.316 0.631

- Magnetic moment: 0.000 μB/cell
- Relative energy among the computed polymorphs: 0.322 eV/atom

Entry 10:
The following is a DFT calculation (GGA-PBE) of LaGdMgPb after structural relaxation.

a = 5.518 Å, b = 5.518 Å, c = 5.518 Å
α = 60.00°, β = 60.00°, γ = 60.00°
Fractional coordinates of all 4 atoms:
Pb1 0.000 0.000 0.000
Mg1 0.500 0.500 0.500
Gd1 0.750 0.750 0.750
La1 0.250 0.250 0.250

- Magnetic moment: 7.353 μB/cell
- Formation energy from the elements: -0.336 eV per atom

Entry 11:
The following is a DFT calculation (GGA-PBE) of NaOsPb2Au after structural relaxation.

a = 5.326 Å, b = 4.771 Å, c = 5.326 Å
α = 90.00°, β = 90.00°, γ = 90.00°
Fractional coordinates of all 5 atoms:
Pb1 0.000 0.000 0.500
Pb2 0.500 0.000 0.000
Os1 0.500 0.500 0.500
Au1 0.000 0.500 0.000
Na1 0.000 0.000 0.000

- Magnetic moment: 2.270 μB/cell
- Formation energy from the elements: 1.608 eV per atom

Entry 12:
The following is a DFT calculation (GGA-PBE) of YThTlHg after structural relaxation.

a = 5.406 Å, b = 5.406 Å, c = 5.406 Å
α = 60.00°, β = 60.00°, γ = 60.00°
Fractional coordinates of all 4 atoms:
Y1 0.000 0.000 0.000
Tl1 0.750 0.750 0.750
Hg1 0.250 0.250 0.250
Th1 0.500 0.500 0.500

- Magnetic moment: 0.000 μB/cell
- Formation energy from the elements: -0.274 eV per atom

Entry 13:
The following is a DFT calculation (GGA-PBE) of Ba2AlPb2 after structural relaxation.

a = 8.100 Å, b = 8.100 Å, c = 5.543 Å
α = 90.00°, β = 90.00°, γ = 90.00°
Fractional coordinates of all 10 atoms:
Pb1 0.360 0.860 0.000
Pb2 0.860 0.640 0.000
Pb3 0.640 0.140 0.000
Pb4 0.140 0.360 0.000
Ba1 0.169 0.669 0.500
Ba2 0.669 0.831 0.500
Ba3 0.831 0.331 0.500
Ba4 0.331 0.169 0.500
Al1 0.000 0.000 0.000
Al2 0.500 0.500 0.000

- Magnetic moment: 0.000 μB/cell
- Formation energy from the elements: -0.317 eV per atom

Entry 14:
The following is a DFT calculation (GGA-PBE) of Ba3PtCl after structural relaxation.

a = 4.577 Å, b = 7.670 Å, c = 12.306 Å
α = 102.04°, β = 90.00°, γ = 90.00°
Fractional coordinates of all 10 atoms:
Ba1 0.250 0.523 0.306
Ba2 0.750 0.477 0.694
Ba3 0.250 0.989 0.685
Ba4 0.750 0.261 0.994
Ba5 0.750 0.011 0.315
Ba6 0.250 0.739 0.006
Pt1 0.750 0.639 0.162
Pt2 0.250 0.361 0.838
Cl1 0.750 0.760 0.510
Cl2 0.250 0.240 0.490

- Magnetic moment: 0.000 μB/cell
- Relative energy among the computed polymorphs: 0.000 eV/atom

Entry 15:
The following is a DFT calculation (GGA-PBE) of KInC after structural relaxation.

a = 6.019 Å, b = 6.019 Å, c = 7.853 Å
α = 90.00°, β = 90.00°, γ = 120.00°
Fractional coordinates of all 6 atoms:
K1 0.333 0.667 0.250
K2 0.667 0.333 0.750
C1 0.000 0.000 0.000
C2 0.000 0.000 0.500
In1 0.000 0.000 0.250
In2 0.000 0.000 0.750

- Magnetic moment: 0.000 μB/cell
- Formation energy from the elements: 1.236 eV per atom

Entry 16:
The following is a DFT calculation (GGA-PBE) of HfGe3Ir after structural relaxation.

a = 5.013 Å, b = 5.013 Å, c = 5.013 Å
α = 90.00°, β = 90.00°, γ = 90.00°
Fractional coordinates of all 5 atoms:
Ge1 0.000 0.500 0.000
Ge2 0.000 0.000 0.500
Ge3 0.500 0.000 0.000
Ir1 0.500 0.500 0.500
Hf1 0.000 0.000 0.000

- Magnetic moment: 0.000 μB/cell
- Formation energy from the elements: 1.359 eV per atom

Entry 17:
The following is a DFT calculation (GGA-PBE) of PrPaPb2 after structural relaxation.

a = 5.514 Å, b = 5.514 Å, c = 5.514 Å
α = 60.00°, β = 60.00°, γ = 60.00°
Fractional coordinates of all 4 atoms:
Pb1 0.250 0.250 0.250
Pb2 0.750 0.750 0.750
Pr1 0.500 0.500 0.500
Pa1 0.000 0.000 0.000

- Magnetic moment: 2.609 μB/cell
- Formation energy from the elements: -0.069 eV per atom
- Relative energy among the computed polymorphs: 0.112 eV/atom

Entry 18:
The following is a DFT calculation (GGA-PBE) of CdPt4Au3 after structural relaxation.

a = 5.000 Å, b = 10.017 Å, c = 5.759 Å
α = 90.00°, β = 90.00°, γ = 70.05°
Fractional coordinates of all 16 atoms:
Au1 0.436 0.000 0.369
Au2 0.935 0.749 0.370
Au3 0.436 0.751 0.630
Au4 0.936 0.500 0.631
Au5 0.435 0.249 0.630
Au6 0.936 0.251 0.370
Pt1 0.936 0.000 0.120
Pt2 0.436 0.000 0.880
Pt3 0.937 0.749 0.882
Pt4 0.434 0.751 0.118
Pt5 0.936 0.500 0.120
Pt6 0.436 0.500 0.880
Pt7 0.437 0.249 0.118
Pt8 0.934 0.251 0.882
Cd1 0.936 0.000 0.630
Cd2 0.436 0.500 0.370

- Magnetic moment: 0.000 μB/cell
- Formation energy from the elements: -0.063 eV per atom

Entry 19:
The following is a DFT calculation (GGA-PBE) of Tl2FeSiB after structural relaxation.

a = 5.166 Å, b = 3.809 Å, c = 5.166 Å
α = 90.00°, β = 90.00°, γ = 90.00°
Fractional coordinates of all 5 atoms:
Tl1 0.000 0.000 0.500
Tl2 0.500 0.000 0.000
B1 0.000 0.500 0.000
Si1 0.500 0.500 0.500
Fe1 0.000 0.000 0.000

- Magnetic moment: 1.169 μB/cell
- Total DFT energy (no corrections): -0.15162 hartree per atom

Entry 20:
The following is a DFT calculation (GGA-PBE) of Ca2SnAuO after structural relaxation.

a = 5.903 Å, b = 3.893 Å, c = 5.903 Å
α = 90.00°, β = 90.00°, γ = 90.00°
Fractional coordinates of all 5 atoms:
Ca1 0.000 0.000 0.500
Ca2 0.500 0.000 0.000
Au1 0.000 0.000 0.000
Sn1 0.500 0.500 0.500
O1 0.000 0.500 0.000

- Magnetic moment: 0.000 μB/cell
- Total DFT energy (no corrections): -0.13503 hartree per atom